*1*
The following is a PBE-GGA calculation of crystalline CdAsHBr2 at its relaxed geometry, from Alexandria.

Output
The calculation puts the density of states at the Fermi level at 3.94 states/eV/f.u.

a = 5.556 Å, b = 5.556 Å, c = 5.353 Å
α = 90.00°, β = 90.00°, γ = 90.00°
Element x y z (fractional)
1 Cd 0.000 0.000 0.000
2 As 0.000 0.000 0.500
3 H 0.500 0.500 0.500
4 Br 0.000 0.500 0.000
5 Br 0.500 0.000 0.000

---

*2*
The following is a PBE-GGA calculation of crystalline CdAsHBr2 at its relaxed geometry, from Alexandria.

Output
The calculation puts the density of states at the Fermi level at 3.06 states/eV/f.u.

a = 5.383 Å, b = 5.383 Å, c = 3.569 Å
α = 90.00°, β = 90.00°, γ = 90.00°
Element x y z (fractional)
1 Cd 0.000 0.000 0.000
2 As 0.500 0.500 0.000
3 H 0.500 0.500 0.500
4 Br 0.000 0.500 0.500
5 Br 0.500 0.000 0.500

---

Relative energy table, unit meV/atom: *1* 330; *2* 0

---

*1*
The following is a PBE-GGA calculation of crystalline HfCdAs2Br at its relaxed geometry, from Alexandria.

Output
The calculation puts the density of states at the Fermi level at 5.07 states/eV/f.u.

a = 5.218 Å, b = 5.218 Å, c = 5.249 Å
α = 90.00°, β = 90.00°, γ = 90.00°
Element x y z (fractional)
1 Hf 0.000 0.000 0.000
2 Cd 0.500 0.500 0.500
3 As 0.000 0.500 0.000
4 As 0.500 0.000 0.000
5 Br 0.000 0.000 0.500

---

*2*
The following is a PBE-GGA calculation of crystalline HfCdAs2Br at its relaxed geometry, from Alexandria.

Output
The calculation puts the density of states at the Fermi level at 3.64 states/eV/f.u.

a = 5.069 Å, b = 5.069 Å, c = 5.213 Å
α = 90.00°, β = 90.00°, γ = 90.00°
Element x y z (fractional)
1 Hf 0.000 0.000 0.000
2 Cd 0.500 0.500 0.500
3 As 0.000 0.500 0.500
4 As 0.500 0.000 0.500
5 Br 0.500 0.500 0.000

---

*3*
The following is a PBE-GGA calculation of crystalline HfCdAs2Br at its relaxed geometry, from Alexandria.

Output
The calculation puts the density of states at the Fermi level at 5.11 states/eV/f.u.

a = 4.999 Å, b = 4.999 Å, c = 5.679 Å
α = 90.00°, β = 90.00°, γ = 90.00°
Element x y z (fractional)
1 Hf 0.000 0.000 0.000
2 Cd 0.000 0.000 0.500
3 As 0.000 0.500 0.500
4 As 0.500 0.000 0.500
5 Br 0.500 0.500 0.000

---

Relative energy table, unit meV/atom: *1* 0; *2* 898; *3* 1044

---

*1*
The following is a PBE-GGA calculation of crystalline CdAsIrBr2 at its relaxed geometry, from Alexandria.

Output
The calculation puts the density of states at the Fermi level at 2.61 states/eV/f.u.

a = 5.348 Å, b = 5.348 Å, c = 4.653 Å
α = 90.00°, β = 90.00°, γ = 90.00°
Element x y z (fractional)
1 Cd 0.000 0.000 0.000
2 As 0.500 0.500 0.000
3 Ir 0.500 0.500 0.500
4 Br 0.000 0.500 0.500
5 Br 0.500 0.000 0.500

---

*2*
The following is a PBE-GGA calculation of crystalline CdAsIrBr2 at its relaxed geometry, from Alexandria.

Output
The calculation puts the density of states at the Fermi level at 9.91 states/eV/f.u.

a = 5.225 Å, b = 5.225 Å, c = 5.515 Å
α = 90.00°, β = 90.00°, γ = 90.00°
Element x y z (fractional)
1 Cd 0.000 0.000 0.000
2 As 0.000 0.000 0.500
3 Ir 0.500 0.500 0.500
4 Br 0.000 0.500 0.000
5 Br 0.500 0.000 0.000

---

Relative energy table, unit meV/atom: *1* 0; *2* 1056

---

*1*
The following is a PBE-GGA calculation of crystalline KCdAsBr2 at its relaxed geometry, from Alexandria.

Output
The calculation puts the density of states at the Fermi level at 5.74 states/eV/f.u.

a = 6.051 Å, b = 6.051 Å, c = 6.422 Å
α = 90.00°, β = 90.00°, γ = 90.00°
Element x y z (fractional)
1 K 0.000 0.000 0.000
2 Cd 0.500 0.500 0.500
3 As 0.000 0.000 0.500
4 Br 0.000 0.500 0.000
5 Br 0.500 0.000 0.000

---

*2*
The following is a PBE-GGA calculation of crystalline KCdAsBr2 at its relaxed geometry, from Alexandria.

Output
The calculation puts the density of states at the Fermi level at 0.42 states/eV/f.u.

a = 5.845 Å, b = 5.845 Å, c = 5.260 Å
α = 90.00°, β = 90.00°, γ = 90.00°
Element x y z (fractional)
1 K 0.000 0.000 0.000
2 Cd 0.500 0.500 0.500
3 As 0.500 0.500 0.000
4 Br 0.000 0.500 0.500
5 Br 0.500 0.000 0.500

---

Relative energy table, unit meV/atom: *1* 702; *2* 0

---

*1*
The following is a PBE-GGA calculation of crystalline CdAs2BrN at its relaxed geometry, from Alexandria.

Output
The calculation puts the density of states at the Fermi level at 3.53 states/eV/f.u.

a = 4.424 Å, b = 4.424 Å, c = 4.933 Å
α = 90.00°, β = 90.00°, γ = 90.00°
Element x y z (fractional)
1 Cd 0.000 0.000 0.000
2 As 0.000 0.500 0.500
3 As 0.500 0.000 0.500
4 Br 0.500 0.500 0.000
5 N 0.500 0.500 0.500

---

*2*
The following is a PBE-GGA calculation of crystalline CdAs2BrN at its relaxed geometry, from Alexandria.

Output
The calculation puts the density of states at the Fermi level at 5.59 states/eV/f.u.

a = 5.273 Å, b = 5.273 Å, c = 5.766 Å
α = 90.00°, β = 90.00°, γ = 90.00°
Element x y z (fractional)
1 Cd 0.000 0.000 0.000
2 As 0.000 0.500 0.000
3 As 0.500 0.000 0.000
4 Br 0.000 0.000 0.500
5 N 0.500 0.500 0.500

---

Relative energy table, unit meV/atom: *1* 0; *2* 806

---

*1*
The following is a PBE-GGA calculation of crystalline NaCdAsBr2 at its relaxed geometry, from Alexandria.

Output
The calculation puts the density of states at the Fermi level at 0.59 states/eV/f.u.

a = 5.790 Å, b = 5.790 Å, c = 5.237 Å
α = 90.00°, β = 90.00°, γ = 90.00°
Element x y z (fractional)
1 Na 0.000 0.000 0.000
2 Cd 0.500 0.500 0.500
3 As 0.500 0.500 0.000
4 Br 0.000 0.500 0.500
5 Br 0.500 0.000 0.500

---

*2*
The following is a PBE-GGA calculation of crystalline NaCdAsBr2 at its relaxed geometry, from Alexandria.

Output
The calculation puts the density of states at the Fermi level at 3.07 states/eV/f.u.

a = 5.349 Å, b = 5.349 Å, c = 5.745 Å
α = 90.00°, β = 90.00°, γ = 90.00°
Element x y z (fractional)
1 Na 0.000 0.000 0.000
2 Cd 0.500 0.500 0.500
3 As 0.000 0.000 0.500
4 Br 0.000 0.500 0.000
5 Br 0.500 0.000 0.000

---

Relative energy table, unit meV/atom: *1* 0; *2* 407

---

*1*
The following is a PBE-GGA calculation of crystalline NaCdAs2Br at its relaxed geometry, from Alexandria.

Output
The calculation puts the density of states at the Fermi level at 4.02 states/eV/f.u.

a = 5.265 Å, b = 5.265 Å, c = 5.268 Å
α = 90.00°, β = 90.00°, γ = 90.00°
Element x y z (fractional)
1 Na 0.000 0.000 0.000
2 Cd 0.500 0.500 0.500
3 As 0.000 0.500 0.000
4 As 0.500 0.000 0.000
5 Br 0.000 0.000 0.500

---

*2*
The following is a PBE-GGA calculation of crystalline NaCdAs2Br at its relaxed geometry, from Alexandria.

Output
The calculation puts the density of states at the Fermi level at 2.10 states/eV/f.u.

a = 5.167 Å, b = 5.167 Å, c = 6.151 Å
α = 90.00°, β = 90.00°, γ = 90.00°
Element x y z (fractional)
1 Na 0.000 0.000 0.000
2 Cd 0.500 0.500 0.500
3 As 0.000 0.500 0.500
4 As 0.500 0.000 0.500
5 Br 0.500 0.500 0.000

---

Relative energy table, unit meV/atom: *1* 445; *2* 0

---

*1*
The following is a PBE-GGA calculation of crystalline CdNiAs2Br at its relaxed geometry, from Alexandria.

Output
The calculation puts the density of states at the Fermi level at 10.30 states/eV/f.u.

a = 5.147 Å, b = 5.147 Å, c = 5.561 Å
α = 90.00°, β = 90.00°, γ = 90.00°
Element x y z (fractional)
1 Cd 0.000 0.000 0.000
2 Ni 0.500 0.500 0.500
3 As 0.000 0.500 0.000
4 As 0.500 0.000 0.000
5 Br 0.000 0.000 0.500

---

*2*
The following is a PBE-GGA calculation of crystalline CdNiAs2Br at its relaxed geometry, from Alexandria.

Output
The calculation puts the density of states at the Fermi level at 4.94 states/eV/f.u.

a = 4.595 Å, b = 4.595 Å, c = 5.393 Å
α = 90.00°, β = 90.00°, γ = 90.00°
Element x y z (fractional)
1 Cd 0.000 0.000 0.000
2 Ni 0.500 0.500 0.500
3 As 0.000 0.500 0.500
4 As 0.500 0.000 0.500
5 Br 0.500 0.500 0.000

---

Relative energy table, unit meV/atom: *1* 879; *2* 0

---

*1*
The following is a PBE-GGA calculation of crystalline CdNiAsBr2 at its relaxed geometry, from Alexandria.

Output
The calculation puts the density of states at the Fermi level at 13.22 states/eV/f.u.

a = 5.480 Å, b = 5.480 Å, c = 5.317 Å
α = 90.00°, β = 90.00°, γ = 90.00°
Element x y z (fractional)
1 Cd 0.000 0.000 0.000
2 Ni 0.500 0.500 0.500
3 As 0.000 0.000 0.500
4 Br 0.000 0.500 0.000
5 Br 0.500 0.000 0.000

---

*2*
The following is a PBE-GGA calculation of crystalline CdNiAsBr2 at its relaxed geometry, from Alexandria.

Output
The calculation puts the density of states at the Fermi level at 3.53 states/eV/f.u.

a = 5.034 Å, b = 5.034 Å, c = 4.695 Å
α = 90.00°, β = 90.00°, γ = 90.00°
Element x y z (fractional)
1 Cd 0.000 0.000 0.000
2 Ni 0.500 0.500 0.500
3 As 0.500 0.500 0.000
4 Br 0.000 0.500 0.500
5 Br 0.500 0.000 0.500

---

Relative energy table, unit meV/atom: *1* 669; *2* 0

---

*1*
The following is a PBE-GGA calculation of crystalline CdAsOsBr2 at its relaxed geometry, from Alexandria.

Output
The calculation puts the density of states at the Fermi level at 4.84 states/eV/f.u.

a = 5.316 Å, b = 5.316 Å, c = 5.460 Å
α = 90.00°, β = 90.00°, γ = 90.00°
Element x y z (fractional)
1 Cd 0.000 0.000 0.000
2 As 0.000 0.000 0.500
3 Os 0.500 0.500 0.500
4 Br 0.000 0.500 0.000
5 Br 0.500 0.000 0.000

---

*2*
The following is a PBE-GGA calculation of crystalline CdAsOsBr2 at its relaxed geometry, from Alexandria.

Output
The calculation puts the density of states at the Fermi level at 5.99 states/eV/f.u.

a = 5.283 Å, b = 5.283 Å, c = 4.697 Å
α = 90.00°, β = 90.00°, γ = 90.00°
Element x y z (fractional)
1 Cd 0.000 0.000 0.000
2 As 0.500 0.500 0.000
3 Os 0.500 0.500 0.500
4 Br 0.000 0.500 0.500
5 Br 0.500 0.000 0.500

---

Relative energy table, unit meV/atom: *1* 1010; *2* 0

---

*1*
The following is a PBE-GGA calculation of crystalline CdAsPBr2 at its relaxed geometry, from Alexandria.

Output
The calculation puts the density of states at the Fermi level at 2.86 states/eV/f.u.

a = 5.081 Å, b = 5.081 Å, c = 5.048 Å
α = 90.00°, β = 90.00°, γ = 90.00°
Element x y z (fractional)
1 Cd 0.000 0.000 0.000
2 As 0.500 0.500 0.000
3 P 0.500 0.500 0.500
4 Br 0.000 0.500 0.500
5 Br 0.500 0.000 0.500

---

*2*
The following is a PBE-GGA calculation of crystalline CdAsPBr2 at its relaxed geometry, from Alexandria.

Output
The calculation puts the density of states at the Fermi level at 4.58 states/eV/f.u.

a = 5.329 Å, b = 5.329 Å, c = 5.568 Å
α = 90.00°, β = 90.00°, γ = 90.00°
Element x y z (fractional)
1 Cd 0.000 0.000 0.000
2 As 0.000 0.000 0.500
3 P 0.500 0.500 0.500
4 Br 0.000 0.500 0.000
5 Br 0.500 0.000 0.000

---

Relative energy table, unit meV/atom: *1* 0; *2* 443

---

*1*
The following is a PBE-GGA calculation of crystalline RbCdAs2Br at its relaxed geometry, from Alexandria.

Output
The calculation puts the density of states at the Fermi level at 2.11 states/eV/f.u.

a = 5.218 Å, b = 5.218 Å, c = 6.395 Å
α = 90.00°, β = 90.00°, γ = 90.00°
Element x y z (fractional)
1 Rb 0.000 0.000 0.000
2 Cd 0.500 0.500 0.500
3 As 0.000 0.500 0.500
4 As 0.500 0.000 0.500
5 Br 0.500 0.500 0.000

---

*2*
The following is a PBE-GGA calculation of crystalline RbCdAs2Br at its relaxed geometry, from Alexandria.

a = 7.487 Å, b = 7.487 Å, c = 6.298 Å
α = 90.00°, β = 90.00°, γ = 90.00°
Element x y z (fractional)
1 Rb 0.000 0.000 0.000
2 Cd 0.500 0.500 0.500
3 As 0.000 0.500 0.000
4 As 0.500 0.000 0.000
5 Br 0.000 0.000 0.500

---

Relative energy table, unit meV/atom: *1* 0; *2* 786